DFT (GGA-PBE) results for crystalline CaZrOs4 at its relaxed geometry.

The total magnetization comes out at 0.00 μB/cell. For the energy of formation from the pure elements, the calculation gives -78.0 meV/atom.

The space group is F-43m (No. 216) and the conventional cell measures 7.4864, 7.4864 and 7.4864 Å, with angles of 90.00, 90.00 and 90.00 degrees. The inequivalent atoms are Ca at (0.0000, 0.0000, 0.0000), Zr at (0.2500, 0.2500, 0.2500) and Os at (0.1249, 0.1249, 0.6249).

***

DFT (GGA-PBE) results for crystalline Ta3BiMo at its relaxed geometry.

The total magnetization comes out at 0.00 μB/cell. For the energy of formation from the pure elements, the calculation gives 1209.3 meV/atom.

The space group is Pm-3m (No. 221) and the conventional cell measures 4.9031, 4.9031 and 4.9031 Å, with angles of 90.00, 90.00 and 90.00 degrees. The inequivalent atoms are Ta at (0.0000, 0.0000, 0.5000), Bi at (0.5000, 0.5000, 0.5000) and Mo at (0.0000, 0.0000, 0.0000).

***

DFT (GGA-PBE) results for crystalline AcIn3Au at its relaxed geometry.

The total magnetization comes out at 0.00 μB/cell. For the energy of formation from the pure elements, the calculation gives -432.9 meV/atom.

The space group is Pnma (No. 62) and the conventional cell measures 9.4804, 4.7414 and 12.0394 Å, with angles of 90.00, 90.00 and 90.00 degrees. The inequivalent atoms are Ac at (0.1926, 0.2500, 0.0030), In at (0.0682, 0.2500, 0.5986), In at (0.1083, 0.7500, 0.8016), In at (0.1351, 0.7500, 0.2081) and Au at (0.1041, 0.2500, 0.3636).

***

DFT (GGA-PBE) results for crystalline NaCdBiPb at its relaxed geometry.

The total magnetization comes out at 0.00 μB/cell. For the energy of formation from the pure elements, the calculation gives -76.5 meV/atom.

The space group is I-4m2 (No. 119) and the conventional cell measures 5.3909, 5.3909 and 7.7385 Å, with angles of 90.00, 90.00 and 90.00 degrees. The inequivalent atoms are Na at (0.0000, 0.0000, 0.0000), Cd at (0.0000, 0.0000, 0.5000), Bi at (0.0000, 0.5000, 0.7500) and Pb at (0.0000, 0.5000, 0.2500).